Crystalline CdCu2NiF8 at its relaxed geometry, computed with PBE with a Hubbard U.

a = 6.5099 Å, b = 6.5099 Å, c = 6.5099 Å
α = 131.94°, β = 131.94°, γ = 70.32°
Fractional coordinates of all 12 atoms:
1 Cd 0.0000 0.0000 0.0000
2 Cu 0.5000 0.5000 0.0000
3 Cu 0.7500 0.2500 0.5000
4 Ni 0.2500 0.7500 0.5000
5 F 0.2546 0.4064 0.5452
6 F 0.2906 0.7454 0.1517
7 F 0.4054 0.0125 0.0173
8 F 0.5936 0.1388 0.8483
9 F 0.6119 0.5946 0.6071
10 F 0.8612 0.7094 0.4548
11 F 0.9875 0.0048 0.3929
12 F 0.9952 0.3881 0.9827

Properties
- Calculated density: 5.0 Mg/m³
- Volume: 12.47 A^3/atom
- VASP energy: -3.95 eV/atom
- SG: I-4, No. 82